The following is a DFT calculation (PBE-GGA) of crystalline In12Ga5P3 at its relaxed geometry.

Geometry as POSCAR:
```
In12Ga5P3
1.0
-8.1843 8.1843 8.1843
8.1843 -8.1843 8.1843
8.1843 8.1843 -8.1843
In Ga P
48 20 12
Cartesian
2.4549 -0.3579 1.3111
9.8216 5.4033 -4.4500
7.8264 -1.3111 2.4549
12.6343 -1.6373 2.7810
10.6392 0.3579 1.3111
9.8216 -2.7810 4.4500
1.3111 2.4549 -0.3579
10.9653 3.7343 -1.6373
5.4033 4.4500 -1.6373
6.8732 2.4549 0.3579
-0.3579 1.3111 2.4549
4.4500 -1.6373 5.4033
7.8264 6.8732 -2.4549
4.4500 1.6373 2.7810
6.8732 -2.4549 7.8264
5.4033 -4.4500 9.8216
2.7810 4.4500 1.6373
9.4954 5.7294 0.3579
2.4549 7.8264 -1.3111
9.8216 2.7810 3.7343
4.4500 9.8216 -2.7810
7.8264 1.3111 5.7294
1.6373 2.7810 4.4500
2.4549 0.3579 6.8732
5.7294 7.8264 1.3111
6.5470 5.4033 3.7343
0.3579 6.8732 2.4549
3.7343 -1.6373 10.9653
-1.6373 5.4033 4.4500
5.7294 0.3579 9.4954
-1.3111 2.4549 7.8264
5.4033 3.7343 6.5470
2.7810 12.6343 -1.6373
1.3111 10.6392 0.3579
3.7343 6.5470 5.4033
0.3579 1.3111 10.6392
3.7343 9.8216 2.7810
8.5422 6.8732 5.7294
1.3111 5.7294 7.8264
2.7810 3.7343 9.8216
-2.7810 4.4500 9.8216
6.8732 5.7294 8.5422
-1.6373 10.9653 3.7343
-2.4549 7.8264 6.8732
-4.4500 9.8216 5.4033
0.3579 9.4954 5.7294
-1.6373 2.7810 12.6343
5.7294 8.5422 6.8732
0.0000 0.0000 0.0000
4.0922 4.0922 -4.0922
4.0922 -4.0922 4.0922
8.1843 0.0000 0.0000
12.2765 2.0461 0.0000
8.1843 -4.0922 6.1382
6.1382 8.1843 -4.0922
6.1382 0.0000 4.0922
4.0922 6.1382 0.0000
8.1843 4.0922 2.0461
-4.0922 4.0922 4.0922
0.0000 8.1843 0.0000
0.0000 0.0000 8.1843
4.0922 4.0922 4.0922
0.0000 4.0922 6.1382
4.0922 2.0461 8.1843
2.0461 8.1843 4.0922
2.0461 0.0000 12.2765
0.0000 12.2765 2.0461
-4.0922 6.1382 8.1843
4.0922 2.0461 0.0000
8.1843 4.0922 -2.0461
2.0461 0.0000 4.0922
10.2304 0.0000 4.0922
0.0000 4.0922 2.0461
4.0922 -2.0461 8.1843
4.0922 10.2304 0.0000
8.1843 4.0922 6.1382
-2.0461 8.1843 4.0922
6.1382 8.1843 4.0922
0.0000 4.0922 10.2304
4.0922 6.1382 8.1843
```

Computed properties:
ΔE_f: 0.192 eV per atom
V: 27.41 A^3/atom
Magnetic moment: 0.00 Bohr magnetons per cell

The following is a DFT calculation (PBE-GGA) of crystalline BaLa3Ru at its relaxed geometry.

Geometry as POSCAR:
```
BaLa3Ru
1.0
3.5393 -7.1943 0.0000
3.5393 7.1943 0.0000
0.0000 0.0000 6.7693
Ba La Ru
2 6 2
Cartesian
3.5393 6.2082 5.0770
3.5393 -6.2082 1.6923
1.8090 2.8836 5.0770
1.8090 -2.8836 1.6923
3.5393 0.0000 0.0000
3.5393 0.0000 3.3847
5.2696 2.8836 5.0770
5.2696 -2.8836 1.6923
3.5393 2.3596 1.6923
3.5393 -2.3596 5.0770
```

Computed properties:
ΔE_f: 0.017 eV per atom
V: 34.47 A^3/atom
Magnetic moment: 0.00 Bohr magnetons per cell

The following is a DFT calculation (PBE-GGA) of crystalline CaReRh2F at its relaxed geometry.

Geometry as POSCAR:
```
CaReRh2F
1.0
4.7712 0.0000 0.0000
0.0000 4.7712 0.0000
0.0000 0.0000 5.6873
Ca Re Rh F
1 1 2 1
Cartesian
0.0000 0.0000 0.0000
0.0000 0.0000 2.8436
0.0000 2.3856 0.0000
2.3856 0.0000 0.0000
2.3856 2.3856 2.8436
```

Computed properties:
V: 25.89 A^3/atom
Magnetic moment: 4.07 Bohr magnetons per cell
ΔE_f (raw): 2.142 eV per atom

The following is a DFT calculation (PBE-GGA) of crystalline LiBiNF2 at its relaxed geometry.

Geometry as POSCAR:
```
LiBiNF2
1.0
3.6521 0.0000 0.0000
0.0000 3.6521 0.0000
0.0000 0.0000 4.3878
Li Bi N F
1 1 1 2
Cartesian
0.0000 0.0000 0.0000
1.8261 1.8261 2.1939
0.0000 0.0000 2.1939
0.0000 1.8261 0.0000
1.8261 0.0000 0.0000
```

Computed properties:
V: 11.70 A^3/atom
Magnetic moment: 0.89 Bohr magnetons per cell
ΔE_f (raw): -1.061 eV per atom

The following is a DFT calculation (PBE-GGA) of crystalline Sr2CuSn2 at its relaxed geometry.

Geometry as POSCAR:
```
Sr2CuSn2
1.0
7.5381 0.0000 0.0000
0.0000 7.5381 0.0000
0.0000 0.0000 5.2025
Sr Cu Sn
4 2 4
Cartesian
1.2397 2.5294 0.0000
2.5294 6.2984 0.0000
5.0087 1.2397 0.0000
6.2984 5.0087 0.0000
0.0000 0.0000 2.6012
3.7691 3.7691 2.6012
1.1001 4.8691 2.6012
2.6690 1.1001 2.6012
4.8691 6.4380 2.6012
6.4380 2.6690 2.6012
```

Computed properties:
ΔE_f: -0.363 eV per atom
V: 29.56 A^3/atom
Magnetic moment: 0.00 Bohr magnetons per cell

The following is a DFT calculation (PBE-GGA) of crystalline KAc2PaS5 at its relaxed geometry.

Geometry as POSCAR:
```
KAc2PaS5
1.0
-2.5636 3.7279 7.2330
2.5636 -3.7279 7.2330
2.5636 3.7279 -7.2330
K Ac Pa S
1 2 1 5
Cartesian
0.0000 0.0000 0.0000
2.5636 0.0000 4.2789
0.0000 3.7279 2.9541
0.0000 0.0000 7.2330
2.5636 1.9751 -2.0908
2.5636 1.9751 2.0908
0.0000 3.7279 0.0000
0.0000 1.7528 5.1422
0.0000 1.7528 9.3238
```

Computed properties:
V: 30.72 A^3/atom
Magnetic moment: 0.49 Bohr magnetons per cell
ΔE_f (raw): -1.785 eV per atom

The following is a DFT calculation (PBE-GGA) of crystalline PmPr4Sm4 at its relaxed geometry.

Geometry as POSCAR:
```
PmPr4Sm4
1.0
5.8041 -2.5972 0.0000
5.8041 2.5972 0.0000
-3.4953 0.0000 10.4398
Pm Pr Sm
1 4 4
Cartesian
0.0000 0.0000 0.0000
-1.1568 0.0000 3.4826
3.4824 0.0000 1.1628
4.6305 0.0000 9.2771
9.2697 0.0000 6.9573
1.1431 0.0000 8.1041
2.3137 0.0000 4.6504
5.7992 0.0000 5.7894
6.9698 0.0000 2.3357
```

Computed properties:
ΔE_f: 0.014 eV per atom
V: 34.97 A^3/atom
Magnetic moment: 0.00 Bohr magnetons per cell

The following is a DFT calculation (PBE-GGA) of crystalline LiNbRe2Pd at its relaxed geometry.

Geometry as POSCAR:
```
LiNbRe2Pd
1.0
4.6898 0.0000 0.0000
0.0000 4.6898 0.0000
0.0000 0.0000 4.5697
Li Nb Re Pd
1 1 2 1
Cartesian
0.0000 0.0000 0.0000
0.0000 0.0000 2.2849
0.0000 2.3449 2.2849
2.3449 0.0000 2.2849
2.3449 2.3449 0.0000
```

Computed properties:
ΔE_f: 1.897 eV per atom
V: 20.10 A^3/atom
Magnetic moment: 0.93 Bohr magnetons per cell

The following is a DFT calculation (PBE-GGA) of crystalline Na2Ta2Se at its relaxed geometry.

Geometry as POSCAR:
```
Na2Ta2Se
1.0
6.5312 0.0000 0.0000
0.0000 6.5312 0.0000
0.0000 0.0000 5.6128
Na Ta Se
4 4 2
Cartesian
1.0571 2.2085 0.0000
2.2085 5.4742 0.0000
4.3227 1.0571 0.0000
5.4742 4.3227 0.0000
0.9455 4.2111 2.8064
2.3202 0.9455 2.8064
4.2111 5.5858 2.8064
5.5858 2.3202 2.8064
0.0000 0.0000 2.8064
3.2656 3.2656 2.8064
```

Computed properties:
V: 23.94 A^3/atom
Magnetic moment: 0.00 Bohr magnetons per cell
ΔE_f (raw): 0.490 eV per atom

The following is a DFT calculation (PBE-GGA) of crystalline Pu4BiPb at its relaxed geometry.

Geometry as POSCAR:
```
Pu4BiPb
1.0
5.2407 0.0000 0.0000
0.0000 6.9017 0.0000
0.0000 0.0000 9.0733
Pu Bi Pb
8 2 2
Cartesian
0.0000 1.7283 1.5119
0.0000 1.7283 7.5614
0.0000 5.1733 1.5119
0.0000 5.1733 7.5614
2.6204 1.7225 3.0247
2.6204 1.7225 6.0486
2.6204 5.1792 3.0247
2.6204 5.1792 6.0486
0.0000 0.0000 4.5366
2.6204 3.4508 0.0000
0.0000 3.4508 4.5366
2.6204 0.0000 0.0000
```

Computed properties:
ΔE_f: -0.033 eV per atom
V: 27.35 A^3/atom
Magnetic moment: 50.61 Bohr magnetons per cell

The following is a DFT calculation (PBE-GGA) of crystalline LaZr2Ni at its relaxed geometry.

Geometry as POSCAR:
```
LaZr2Ni
1.0
6.8838 0.0000 0.0000
0.0000 6.8838 0.0000
0.0000 0.0000 6.8838
La Zr Ni
4 8 4
Cartesian
0.0000 0.0000 0.0000
0.0000 3.4419 3.4419
3.4419 0.0000 3.4419
3.4419 3.4419 0.0000
1.7209 1.7209 1.7209
1.7209 1.7209 5.1628
1.7209 5.1628 1.7209
1.7209 5.1628 5.1628
5.1628 1.7209 1.7209
5.1628 1.7209 5.1628
5.1628 5.1628 1.7209
5.1628 5.1628 5.1628
0.0000 0.0000 3.4419
0.0000 3.4419 0.0000
3.4419 0.0000 0.0000
3.4419 3.4419 3.4419
```

Computed properties:
ΔE_f: 0.195 eV per atom
V: 20.39 A^3/atom
Magnetic moment: 0.00 Bohr magnetons per cell

The following is a DFT calculation (PBE-GGA) of crystalline Bi3O4F at its relaxed geometry.

Geometry as POSCAR:
```
Bi3O4F
1.0
2.0317 -6.3130 0.0000
2.0317 6.3130 0.0000
0.0000 0.0000 11.5541
Bi O F
6 8 2
Cartesian
2.0317 4.6424 6.8529
2.0317 4.6424 10.4783
2.0317 4.1596 2.8885
2.0317 -4.1596 8.6656
2.0317 -4.6424 1.0758
2.0317 -4.6424 4.7012
2.0317 5.8353 8.6656
2.0317 3.1318 8.6656
2.0317 2.8146 1.1412
2.0317 2.8146 4.6359
2.0317 -2.8146 6.9183
2.0317 -2.8146 10.4129
2.0317 -3.1318 2.8885
2.0317 -5.8353 2.8885
2.0317 0.0000 0.0000
2.0317 0.0000 5.7771
```

Computed properties:
V: 18.52 A^3/atom
Magnetic moment: 0.00 Bohr magnetons per cell
ΔE_f (raw): -1.387 eV per atom

The following is a DFT calculation (PBE-GGA) of crystalline TaBePb2 at its relaxed geometry.

Geometry as POSCAR:
```
TaBePb2
1.0
3.0942 0.0000 0.0000
0.0000 3.0942 0.0000
0.0000 0.0000 9.4721
Ta Be Pb
1 1 2
Cartesian
0.0000 0.0000 0.0000
1.5471 1.5471 1.4180
0.0000 0.0000 3.3750
1.5471 1.5471 7.0542
```

Computed properties:
ΔE_f: 0.383 eV per atom
V: 22.67 A^3/atom
Magnetic moment: 0.00 Bohr magnetons per cell

The following is a DFT calculation (PBE-GGA) of crystalline LiYSn at its relaxed geometry.

Geometry as POSCAR:
```
LiYSn
1.0
5.2483 0.0000 0.0000
-2.6241 4.5451 0.0000
0.0000 0.0000 6.2633
Li Y Sn
2 2 2
Cartesian
0.0000 0.0000 0.0000
0.0000 0.0000 3.1316
0.0000 3.0301 1.5658
2.6241 1.5150 4.6974
0.0000 3.0301 4.6974
2.6241 1.5150 1.5658
```

Computed properties:
ΔE_f: -0.589 eV per atom
V: 24.90 A^3/atom
Magnetic moment: 0.00 Bohr magnetons per cell

The following is a DFT calculation (PBE-GGA) of crystalline LaNb2V at its relaxed geometry.

Geometry as POSCAR:
```
LaNb2V
1.0
3.0947 0.0000 0.0000
-1.5473 2.6801 0.0000
0.0000 0.0000 29.6294
La Nb V
3 6 3
Cartesian
0.0000 0.0000 0.0000
0.0000 1.7867 19.7530
1.5473 0.8934 9.8765
0.0000 0.0000 2.9906
0.0000 0.0000 26.6389
0.0000 1.7867 16.7624
0.0000 1.7867 22.7435
1.5473 0.8934 6.8859
1.5473 0.8934 12.8670
0.0000 0.0000 14.8147
0.0000 1.7867 4.9382
1.5473 0.8934 24.6912
```

Computed properties:
ΔE_f: 0.502 eV per atom
V: 20.48 A^3/atom
Magnetic moment: 0.00 Bohr magnetons per cell

The following is a DFT calculation (PBE-GGA) of crystalline Nb2TlCdO6 at its relaxed geometry.

Geometry as POSCAR:
```
Nb2TlCdO6
1.0
5.0889 -5.9984 0.0000
5.0889 5.9984 0.0000
-2.4957 0.0000 6.4404
Nb Tl Cd O
4 2 2 12
Cartesian
1.0979 0.8048 1.1769
-0.1500 -0.8048 4.3971
7.8321 0.8048 2.0433
6.5842 -0.8048 5.2635
3.2171 1.3243 4.8303
4.4650 -1.3243 1.6101
4.4650 2.6031 1.6101
3.2171 -2.6031 4.8303
0.0200 0.3520 2.7997
1.8003 3.5110 5.9072
-1.2278 -0.3520 6.0199
2.8058 0.9091 1.8545
4.6339 3.5110 3.7534
1.5579 -0.9091 5.0747
6.1242 0.9091 1.3657
3.0482 -3.5110 2.6870
4.8763 -0.9091 4.5859
8.9099 0.3520 0.4205
5.8818 -3.5110 0.5332
7.6620 -0.3520 3.6407
```

Computed properties:
V: 19.66 A^3/atom
Magnetic moment: 0.00 Bohr magnetons per cell
ΔE_f (raw): -1.868 eV per atom

The following is a DFT calculation (PBE-GGA) of crystalline LiInSN2 at its relaxed geometry.

Geometry as POSCAR:
```
LiInSN2
1.0
3.8851 0.0000 0.0000
0.0000 3.8851 0.0000
0.0000 0.0000 4.9022
Li In S N
1 1 1 2
Cartesian
0.0000 0.0000 0.0000
1.9425 1.9425 2.4511
0.0000 0.0000 2.4511
0.0000 1.9425 0.0000
1.9425 0.0000 0.0000
```

Computed properties:
V: 14.80 A^3/atom
Magnetic moment: 3.62 Bohr magnetons per cell
ΔE_f (raw): 1.347 eV per atom